## Te4Au (PBE)

Data for a relaxed Te4Au crystal.

abc: 5.5317 7.5639 7.7265
angles: 94.00 90.00 90.00
Atoms (fractional coordinates):
Te 0.6682 0.2825 0.0238
Au 0.5000 0.0000 0.5000
Te 0.7264 0.7896 0.7641
Te 0.2264 0.2104 0.7359
Te 0.3318 0.7175 0.9762
Te 0.2736 0.2104 0.2359
Te 0.8318 0.2825 0.5238
Te 0.7736 0.7896 0.2641
Te 0.1682 0.7175 0.4762
Au 0.0000 0.0000 0.0000

Output
V in Å³/f.u.: 161.25
Space-group type: P2_1/c (14)
Relative energy among the computed polymorphs in eV/atom: 0.0000


## Te3Au (PBE)

Data for a relaxed Te3Au crystal.

abc: 5.2058 5.2058 4.0388
angles: 90.00 90.00 103.54
Atoms (fractional coordinates):
Te 0.5000 0.0000 0.5000
Au 0.0000 0.0000 0.0000
Te 0.0000 0.5000 0.5000
Te 0.5000 0.5000 0.0000

Output
V in Å³/f.u.: 106.41
Space-group type: Cmmm (65)
DFT total energy in hartree per atom: -0.102


## Te3Au2 (PBE)

Data for a relaxed Te3Au2 crystal.

abc: 11.3045 9.2528 7.2561
angles: 85.53 54.69 39.79
Atoms (fractional coordinates):
Te 0.9869 0.0131 0.0131
Te 0.2369 0.2631 0.2631
Au 0.7583 0.8407 0.4734
Au 0.4093 0.4917 0.3224
Te 0.8116 0.0196 0.6532
Te 0.5968 0.7344 0.4384
Au 0.7766 0.3224 0.4917
Au 0.9276 0.4734 0.8407
Te 0.2304 0.4384 0.7344
Te 0.5156 0.6532 0.0196

Output
V in Å³/f.u.: 141.28
Space-group type: Fdd2 (43)
DFT total energy in hartree per atom: -0.117


## Te3Au (PBE)

Data for a relaxed Te3Au crystal.

abc: 5.5339 5.5339 5.5339
angles: 90.00 90.00 90.00
Atoms (fractional coordinates):
Te 0.0000 0.0000 0.5000
Te 0.0000 0.5000 0.0000
Te 0.5000 0.0000 0.0000
Au 0.0000 0.0000 0.0000

Output
V in Å³/f.u.: 169.47
Space-group type: Pm-3m (221)
DFT total energy in hartree per atom: -0.095


## TeAu (PBE)

Data for a relaxed TeAu crystal.

abc: 4.6829 4.6709 4.6693
angles: 76.57 90.00 90.00
Atoms (fractional coordinates):
Te 0.0000 0.5539 0.5538
Au 0.0000 0.9893 0.9893
Te 0.5000 0.1961 0.1962
Au 0.5000 0.7607 0.7607

Output
V in Å³/f.u.: 49.67
Space-group type: Cmcm (63)
DFT total energy in hartree per atom: -0.119


## Te3Au2 (PBE)

Data for a relaxed Te3Au2 crystal.

abc: 10.3736 4.3361 9.7492
angles: 77.23 41.26 90.10
Atoms (fractional coordinates):
Te 0.6803 0.3616 0.3818
Te 0.1814 0.2553 0.3821
Te 0.7499 0.5739 0.9997
Au 0.5505 0.1105 0.8019
Au 0.0509 0.0881 0.8022
Te 0.8187 0.7447 0.6179
Au 0.9491 0.9119 0.1978
Te 0.2501 0.4261 0.0003
Te 0.3197 0.6384 0.6182
Au 0.4495 0.8895 0.1981

Output
V in Å³/f.u.: 136.14
Space-group type: P-1 (2)
DFT total energy in hartree per atom: -0.119


## Te3Au (PBE)

Data for a relaxed Te3Au crystal.

abc: 3.1214 3.1214 12.8392
angles: 90.00 90.00 90.00
Atoms (fractional coordinates):
Te 0.0000 0.0000 0.2065
Te 0.0000 0.0000 0.5000
Te 0.0000 0.0000 0.7935
Au 0.0000 0.0000 0.0000

Output
V in Å³/f.u.: 125.10
Space-group type: P4/mmm (123)
DFT total energy in hartree per atom: -0.116


## TeAu (PBE)

Data for a relaxed TeAu crystal.

abc: 4.4383 4.4383 4.4383
angles: 60.00 60.00 60.00
Atoms (fractional coordinates):
Te 0.7500 0.7500 0.7500
Au 0.0000 0.0000 0.0000

Output
V in Å³/f.u.: 61.82
Space-group type: F-43m (216)
DFT total energy in hartree per atom: -0.118


## Te3Au (PBE)

Data for a relaxed Te3Au crystal.

abc: 6.0957 6.0957 6.0957
angles: 116.78 116.78 116.78
Atoms (fractional coordinates):
Au 0.0000 0.0000 0.0000
Te 0.5000 0.5000 0.0000
Te 0.5000 0.0000 0.5000
Te 0.0000 0.5000 0.5000

Output
V in Å³/f.u.: 103.29
Space-group type: R-3m (166)
DFT total energy in hartree per atom: -0.104


## Te5Au (PBE)

Data for a relaxed Te5Au crystal.

abc: 4.3179 4.3179 11.1062
angles: 90.28 90.28 60.58
Atoms (fractional coordinates):
Te 0.2875 0.2875 0.3789
Te 0.6571 0.6571 0.7323
Te 0.2763 0.2763 0.9207
Au 0.9721 0.9721 0.0556
Te 0.9726 0.9726 0.5556
Te 0.6678 0.6678 0.1903

Output
V in Å³/f.u.: 180.36
Space-group type: C2/m (12)
Relative energy among the computed polymorphs in eV/atom: 0.0080


## TeAu5 (PBE)

Data for a relaxed TeAu5 crystal.

abc: 5.2223 5.2223 4.9712
angles: 90.00 90.00 120.00
Atoms (fractional coordinates):
Au 0.6524 0.0000 0.0000
Au 0.6667 0.3333 0.5000
Au 0.3333 0.6667 0.5000
Au 0.3476 0.3476 0.0000
Te 0.0000 0.0000 0.5000
Au 0.0000 0.6524 0.0000

Output
V in Å³/f.u.: 117.41
Space-group type: P-62m (189)
Relative energy among the computed polymorphs in eV/atom: 0.0088


## TeAu (PBE)

Data for a relaxed TeAu crystal.

abc: 6.4235 6.4235 6.0613
angles: 90.00 90.00 142.46
Atoms (fractional coordinates):
Au 0.3653 0.6347 0.0000
Te 0.7103 0.2897 0.5000
Au 0.0243 0.9757 0.0000
Te 0.0074 0.9926 0.5000
Au 0.3597 0.6403 0.5000
Te 0.6997 0.3003 0.0000

Output
V in Å³/f.u.: 50.80
Space-group type: Amm2 (38)
DFT total energy in hartree per atom: -0.118


## TeAu5 (PBE)

Data for a relaxed TeAu5 crystal.

abc: 5.5828 5.5828 4.7357
angles: 90.00 90.00 120.00
Atoms (fractional coordinates):
Te 0.0000 0.0000 0.0000
Au 0.5000 0.5000 0.5000
Au 0.3333 0.6667 0.0000
Au 0.0000 0.5000 0.5000
Au 0.5000 0.0000 0.5000
Au 0.6667 0.3333 0.0000

Output
V in Å³/f.u.: 127.82
Space-group type: P6/mmm (191)
Relative energy among the computed polymorphs in eV/atom: 0.0563